# 1
DFT (GGA-PBE) results for a relaxed structure of Tb2Ce3PaAs6.

Output
Total energy ... -6.778 eV per atom
SG ... C2/m
Calculated formation energy ... -136 kJ/mol of atoms
N(E_F) ... 1.7006 states/eV/atom

Cell: 7.2119 7.2119 7.2439 Å, 99.54 99.54 119.99°
Closest atoms and distances in Å follow each position.
Fractional coordinates of all 12 atoms:
Tb1 0.1663 0.8337 0.0000  6 As 2.93-2.94
Tb2 0.8337 0.1663 0.0000  6 As 2.93-2.94
Ce1 0.0000 0.0000 0.5000  6 As 2.97-3.01
Ce2 0.3319 0.6681 0.5000  6 As 2.96-2.99
Ce3 0.6681 0.3319 0.5000  6 As 2.96-2.99
Pa1 0.5000 0.5000 0.0000  6 As 2.89
As1 0.0907 0.4193 0.7574  1 Pa 2.89, 2 Tb 2.93-2.94, 3 Ce 2.96-2.99
As2 0.2528 0.2528 0.2428  1 Pa 2.89, 2 Tb 2.93, 3 Ce 2.98-3.01
As3 0.4193 0.0907 0.7574  1 Pa 2.89, 2 Tb 2.93-2.94, 3 Ce 2.96-2.99
As4 0.5807 0.9093 0.2426  1 Pa 2.89, 2 Tb 2.93-2.94, 3 Ce 2.96-2.99
As5 0.7472 0.7472 0.7572  1 Pa 2.89, 2 Tb 2.93, 3 Ce 2.98-3.01
As6 0.9093 0.5807 0.2426  1 Pa 2.89, 2 Tb 2.93-2.94, 3 Ce 2.96-2.99

# 2
DFT (GGA-PBE) results for a relaxed structure of CePaTeAs.

Output
Total energy ... -6.889 eV per atom
SG ... R3m
Uncorrected formation energy ... -1084 meV per atom
N(E_F) ... 2.3172 states/eV/atom

Cell: 7.9772 7.9772 7.9772 Å, 30.01 30.01 30.01°
Closest atoms and distances in Å follow each position.
Fractional coordinates of all 4 atoms:
Ce1 0.0000 0.0000 0.0000  3 As 2.94, 3 Te 3.27
Pa1 0.8119 0.8119 0.8119  3 As 2.87, 3 Te 3.15
Te1 0.2355 0.2355 0.2355  3 Pa 3.15, 3 Ce 3.27
As1 0.4085 0.4085 0.4085  3 Pa 2.87, 3 Ce 2.94

# 3
DFT (GGA-PBE) results for a relaxed structure of Ce2ThPaAs4.

Output
Total energy ... -7.252 eV per atom
SG ... P2/m
Calculated formation energy ... -128 kJ/mol of atoms
N(E_F) ... 1.7849 states/eV/atom

Cell: 7.2628 4.1925 7.2743 Å, 90.00 109.43 90.00°
Closest atoms and distances in Å follow each position.
Fractional coordinates of all 8 atoms:
Ce1 0.0000 0.0000 0.0000  6 As 3.01
Ce2 0.5000 0.5000 0.0000  6 As 2.95
Th1 0.0000 0.5000 0.5000  6 As 2.98
Pa1 0.5000 0.0000 0.5000  6 As 2.92
As1 0.2566 0.0000 0.7487  1 Pa 2.92, 3 Ce 2.95-3.01, 2 Th 2.98
As2 0.2586 0.5000 0.2559  2 Pa 2.92, 3 Ce 2.95-3.01, 1 Th 2.98
As3 0.7414 0.5000 0.7441  2 Pa 2.92, 3 Ce 2.95-3.01, 1 Th 2.98
As4 0.7434 0.0000 0.2513  1 Pa 2.92, 3 Ce 2.95-3.01, 2 Th 2.98

# 4
DFT (GGA-PBE) results for a relaxed structure of CeTh2PaAs4.

Output
Total energy ... -7.430 eV per atom
SG ... P2/m
Calculated formation energy ... -128 kJ/mol of atoms
N(E_F) ... 1.2521 states/eV/atom

Cell: 7.2635 4.2047 7.2885 Å, 90.00 109.50 90.00°
Closest atoms and distances in Å follow each position.
Fractional coordinates of all 8 atoms:
Ce1 0.0000 0.0000 0.0000  6 As 2.95-2.96
Th1 0.5000 0.0000 0.5000  6 As 2.99
Th2 0.5000 0.5000 0.0000  6 As 3.02-3.03
Pa1 0.0000 0.5000 0.5000  6 As 2.92
As1 0.2400 0.0000 0.7430  2 Pa 2.92, 1 Ce 2.95, 3 Th 2.99-3.02
As2 0.2426 0.5000 0.2519  1 Pa 2.92, 2 Ce 2.96, 3 Th 2.99-3.03
As3 0.7574 0.5000 0.7481  1 Pa 2.92, 2 Ce 2.96, 3 Th 2.99-3.03
As4 0.7600 0.0000 0.2570  2 Pa 2.92, 1 Ce 2.95, 3 Th 2.99-3.02

# 5
DFT (GGA-PBE) results for a relaxed structure of Ce3Th2PaAs6.

Output
Total energy ... -7.198 eV per atom
SG ... C2/m
Calculated formation energy ... -131 kJ/mol of atoms
N(E_F) ... 1.7635 states/eV/atom

Cell: 7.2886 7.2886 7.2987 Å, 99.57 99.57 120.00°
Closest atoms and distances in Å follow each position.
Fractional coordinates of all 12 atoms:
Ce1 0.0000 0.0000 0.0000  6 As 2.96-3.03
Ce2 0.3310 0.6690 0.0000  6 As 2.96-3.01
Ce3 0.6690 0.3310 0.0000  6 As 2.96-3.01
Th1 0.1662 0.8338 0.5000  6 As 2.99-3.00
Th2 0.8338 0.1662 0.5000  6 As 2.99-3.00
Pa1 0.5000 0.5000 0.5000  6 As 2.92
As1 0.0924 0.4177 0.2524  1 Pa 2.92, 3 Ce 2.96-3.01, 2 Th 2.99-3.00
As2 0.2583 0.2583 0.7491  1 Pa 2.92, 3 Ce 2.98-3.03, 2 Th 3.00
As3 0.4177 0.0924 0.2524  1 Pa 2.92, 3 Ce 2.96-3.01, 2 Th 2.99-3.00
As4 0.5823 0.9076 0.7476  1 Pa 2.92, 3 Ce 2.96-3.01, 2 Th 2.99-3.00
As5 0.7417 0.7417 0.2509  1 Pa 2.92, 3 Ce 2.98-3.03, 2 Th 3.00
As6 0.9076 0.5823 0.7476  1 Pa 2.92, 3 Ce 2.96-3.01, 2 Th 2.99-3.00

# 6
DFT (GGA-PBE) results for a relaxed structure of Ce2Th3PaAs6.

Output
Total energy ... -7.316 eV per atom
SG ... C2/m
Calculated formation energy ... -131 kJ/mol of atoms
N(E_F) ... 1.3466 states/eV/atom

Cell: 9.4129 9.4129 8.4251 Å, 102.77 102.77 25.88°
Closest atoms and distances in Å follow each position.
Fractional coordinates of all 12 atoms:
Ce1 0.1665 0.1665 0.3340  6 As 2.96-2.97
Ce2 0.8335 0.8335 0.6660  6 As 2.96-2.97
Th1 0.1679 0.1679 0.8342  6 As 2.99-3.02
Th2 0.5000 0.5000 0.5000  6 As 3.00-3.03
Th3 0.8321 0.8321 0.1658  6 As 2.99-3.02
Pa1 0.5000 0.5000 0.0000  6 As 2.92-2.93
As1 0.0002 0.0002 0.2416  2 Pa 2.93, 1 Ce 2.97, 3 Th 3.00-3.03
As2 0.9998 0.9998 0.7584  2 Pa 2.93, 1 Ce 2.97, 3 Th 3.00-3.03
As3 0.3323 0.3323 0.4180  3 Ce 2.96, 3 Th 2.99-3.00
As4 0.3369 0.3369 0.9156  1 Pa 2.92, 2 Ce 2.97, 3 Th 3.00-3.02
As5 0.6631 0.6631 0.0844  1 Pa 2.92, 2 Ce 2.97, 3 Th 3.00-3.02
As6 0.6677 0.6677 0.5820  3 Ce 2.96, 3 Th 2.99-3.00

# 7
DFT (GGA-PBE) results for a relaxed structure of CeTh2Pa3As6.

Output
Total energy ... -7.658 eV per atom
SG ... C2/m
Calculated formation energy ... -119 kJ/mol of atoms
N(E_F) ... 1.3105 states/eV/atom

Cell: 9.3192 9.3192 8.3324 Å, 102.99 102.99 25.84°
Closest atoms and distances in Å follow each position.
Fractional coordinates of all 12 atoms:
Ce1 0.0000 0.0000 0.0000  6 As 2.97-2.98
Th1 0.3338 0.3338 0.6675  6 As 2.99-3.00
Th2 0.6662 0.6662 0.3325  6 As 2.99-3.00
Pa1 0.0000 0.0000 0.5000  6 As 2.90-2.91
Pa2 0.3330 0.3330 0.1663  6 As 2.90-2.91
Pa3 0.6670 0.6670 0.8337  6 As 2.90-2.91
As1 0.1641 0.1641 0.5900  3 Pa 2.90, 3 Th 3.00
As2 0.1682 0.1682 0.0758  3 Pa 2.90-2.91, 1 Ce 2.97, 2 Th 2.99
As3 0.4969 0.4969 0.2541  3 Pa 2.90-2.91, 2 Ce 2.98, 1 Th 2.99
As4 0.5031 0.5031 0.7459  3 Pa 2.90-2.91, 2 Ce 2.98, 1 Th 2.99
As5 0.8318 0.8318 0.9242  3 Pa 2.90-2.91, 1 Ce 2.97, 2 Th 2.99
As6 0.8359 0.8359 0.4100  3 Pa 2.90, 3 Th 3.00

# 8
DFT (GGA-PBE) results for a relaxed structure of Ce2TmPaAs4.

Output
Total energy ... -6.903 eV per atom
SG ... P2/m
Calculated formation energy ... -130 kJ/mol of atoms
N(E_F) ... 1.8163 states/eV/atom

Cell: 7.1612 4.1493 7.2084 Å, 90.00 109.45 90.00°
Closest atoms and distances in Å follow each position.
Fractional coordinates of all 8 atoms:
Ce1 0.0000 0.0000 0.0000  6 As 2.97-2.98
Ce2 0.5000 0.5000 0.0000  6 As 2.97-2.98
Tm1 0.0000 0.5000 0.5000  6 As 2.89-2.90
Pa1 0.5000 0.0000 0.5000  6 As 2.89-2.90
As1 0.2473 0.0000 0.7396  1 Pa 2.89, 2 Tm 2.90, 3 Ce 2.97-2.98
As2 0.2527 0.5000 0.2604  1 Tm 2.89, 2 Pa 2.90, 3 Ce 2.97-2.98
As3 0.7473 0.5000 0.7396  1 Tm 2.89, 2 Pa 2.90, 3 Ce 2.97-2.98
As4 0.7527 0.0000 0.2604  1 Pa 2.89, 2 Tm 2.90, 3 Ce 2.97-2.98

# 9
DFT (GGA-PBE) results for a relaxed structure of Ce3Tm2PaAs6.

Output
Total energy ... -6.733 eV per atom
SG ... C2/m
Calculated formation energy ... -134 kJ/mol of atoms
N(E_F) ... 1.6531 states/eV/atom

Cell: 7.1676 7.1676 7.2092 Å, 99.54 99.54 120.00°
Closest atoms and distances in Å follow each position.
Fractional coordinates of all 12 atoms:
Ce1 0.0000 0.0000 0.0000  6 As 2.97-2.99
Ce2 0.3328 0.6672 0.0000  6 As 2.97-2.98
Ce3 0.6672 0.3328 0.0000  6 As 2.97-2.98
Tm1 0.1666 0.8334 0.5000  6 As 2.89-2.90
Tm2 0.8334 0.1666 0.5000  6 As 2.89-2.90
Pa1 0.5000 0.5000 0.5000  6 As 2.88
As1 0.0883 0.4203 0.2605  1 Pa 2.88, 2 Tm 2.90, 3 Ce 2.97-2.98
As2 0.2478 0.2478 0.7389  1 Pa 2.88, 2 Tm 2.89, 3 Ce 2.98-2.99
As3 0.4203 0.0883 0.2605  1 Pa 2.88, 2 Tm 2.90, 3 Ce 2.97-2.98
As4 0.5797 0.9117 0.7395  1 Pa 2.88, 2 Tm 2.90, 3 Ce 2.97-2.98
As5 0.7522 0.7522 0.2611  1 Pa 2.88, 2 Tm 2.89, 3 Ce 2.98-2.99
As6 0.9117 0.5797 0.7395  1 Pa 2.88, 2 Tm 2.90, 3 Ce 2.97-2.98

# 10
DFT (GGA-PBE) results for a relaxed structure of Ce2UPaAs4.

Output
Total energy ... -7.556 eV per atom
SG ... P2/m
Calculated formation energy ... -111 kJ/mol of atoms
N(E_F) ... 2.5295 states/eV/atom

Cell: 7.1744 4.1365 7.2397 Å, 90.00 109.23 90.00°
Closest atoms and distances in Å follow each position.
Fractional coordinates of all 8 atoms:
Ce1 0.0000 0.0000 0.0000  6 As 2.98
Ce2 0.5000 0.5000 0.0000  6 As 2.97
U1 0.0000 0.5000 0.5000  6 As 2.90-2.91
Pa1 0.5000 0.0000 0.5000  6 As 2.90
As1 0.2476 0.0000 0.7410  1 Pa 2.90, 2 U 2.90, 3 Ce 2.97-2.98
As2 0.2534 0.5000 0.2589  2 Pa 2.90, 1 U 2.91, 3 Ce 2.97-2.98
As3 0.7466 0.5000 0.7411  2 Pa 2.90, 1 U 2.91, 3 Ce 2.97-2.98
As4 0.7524 0.0000 0.2590  1 Pa 2.90, 2 U 2.90, 3 Ce 2.97-2.98